A plane-wave DFT calculation with PBE was carried out for crystalline CsNbHgMo2 at its relaxed geometry.

Structure (CIF):
```
data_CsNbHgMo2
_chemical_formula_sum 'Cs1 Nb1 Hg1 Mo2'
_space_group_name_H-M_alt 'P 1'
_space_group_IT_number 1
_cell_length_a 4.915
_cell_length_b 4.915
_cell_length_c 5.014
_cell_angle_alpha 90.00
_cell_angle_beta 90.00
_cell_angle_gamma 90.00
loop_
_space_group_symop_operation_xyz
'x,y,z'
loop_
_atom_site_label
_atom_site_type_symbol
_atom_site_fract_x
_atom_site_fract_y
_atom_site_fract_z
_atom_site_occupancy
Cs1 Cs 0.000 0.000 0.000 1
Nb1 Nb 0.000 0.000 0.500 1
Hg1 Hg 0.500 0.500 0.500 1
Mo1 Mo 0.000 0.500 0.000 1
Mo2 Mo 0.500 0.000 0.000 1
```

Values from the calculation:
Its energy relative to the elements is 2874 meV per atom. Its total moment is 0.00 μB per atom. The value obtained for the density is 8.477 Mg/m³. As for the volume: 24.22 A^3/atom.